## La5Ru (GGA-PBEsol)

Data for an optimized crystal structure of La5Ru.

Results
DOS(E_F) = 1.00 states/eV/atom
VASP energy = -6.212 eV/atom
E above lowest polymorph = 0 meV/atom
formation enthalpy at 0 K = -0.062 eV/atom
space-group type = C2/m, No. 12

Cell lengths 3.813, 6.319, 8.156 Å; angles 106.09, 90.00, 107.56 degrees
Positions (direct):
Ru: 0.694 0.389 0.889
La: 0.074 0.147 0.005
La: 0.374 0.748 0.213
La: 0.694 0.389 0.389
La: 0.015 0.030 0.565
La: 0.315 0.631 0.773